Record 1
The following is a DFT calculation (GGA-PBEsol) of crystalline La3MgSe at its relaxed geometry.

Output
- V: 36.503 Å³/atom
- Electronic total energy: -19.94 eV per formula unit
- Formation energy from raw total energies: 334 meV per atom

abc: 5.672 5.672 5.672
angles: 90.00 90.00 90.00
Space group Pm-3m (No. 221)
One atom of each set of equivalent atoms:
La  0.000  0.000  0.500 (multiplicity 3)
Mg  0.000  0.000  0.000 (multiplicity 1)
Se  0.500  0.500  0.500 (multiplicity 1)



Record 2
The following is a DFT calculation (GGA-PBEsol) of crystalline LaMgZnSe2 at its relaxed geometry.

Output
- V: 36.649 Å³/atom
- Electronic total energy: -16.83 eV per formula unit
- Formation energy from raw total energies: -97 meV per atom

abc: 5.643 5.643 5.755
angles: 90.00 90.00 90.00
Space group P4/mmm (No. 123)
One atom of each set of equivalent atoms:
La  0.000  0.000  0.000 (multiplicity 1)
Mg  0.500  0.500  0.500 (multiplicity 1)
Zn  0.000  0.000  0.500 (multiplicity 1)
Se  0.000  0.500  0.000 (multiplicity 2)



Record 3
The following is a DFT calculation (GGA-PBEsol) of crystalline La2MgSi at its relaxed geometry.

Output
- V: 26.908 Å³/atom
- Electronic total energy: -19.63 eV per formula unit
- Formation energy from raw total energies: -368 meV per atom

abc: 3.917 3.917 7.015
angles: 90.00 90.00 90.00
Space group P4/mmm (No. 123)
One atom of each set of equivalent atoms:
La  0.000  0.000  0.213 (multiplicity 2)
Mg  0.500  0.500  0.500 (multiplicity 1)
Si  0.500  0.500  0.000 (multiplicity 1)



Record 4
The following is a DFT calculation (GGA-PBEsol) of crystalline LaMgSi at its relaxed geometry.

Output
- V: 23.419 Å³/atom
- Electronic total energy: -13.44 eV per formula unit
- Formation energy from raw total energies: -211 meV per atom

abc: 3.396 3.396 12.183
angles: 90.00 90.00 90.00
Space group I4mm (No. 107)
One atom of each set of equivalent atoms:
La  0.000  0.000  0.000 (multiplicity 2)
Mg  0.000  0.000  0.287 (multiplicity 2)
Si  0.000  0.000  0.666 (multiplicity 2)



Record 5
The following is a DFT calculation (GGA-PBEsol) of crystalline La2MgSi2 at its relaxed geometry.

Output
- V: 24.492 Å³/atom
- Electronic total energy: -27.34 eV per formula unit
- Formation energy from raw total energies: -688 meV per atom

abc: 7.444 7.444 4.419
angles: 90.00 90.00 90.00
Space group P4/mbm (No. 127)
One atom of each set of equivalent atoms:
La  0.180  0.320  0.000 (multiplicity 4)
Mg  0.000  0.000  0.500 (multiplicity 2)
Si  0.114  0.614  0.500 (multiplicity 4)



Record 6
The following is a DFT calculation (GGA-PBEsol) of crystalline LaMgSi at its relaxed geometry.

Output
- V: 28.436 Å³/atom
- Electronic total energy: -12.24 eV per formula unit
- Formation energy from raw total energies: 191 meV per atom

abc: 6.988 6.988 6.988
angles: 90.00 90.00 90.00
Space group F-43m (No. 216)
One atom of each set of equivalent atoms:
La  0.000  0.000  0.000 (multiplicity 4)
Mg  0.250  0.250  0.750 (multiplicity 4)
Si  0.250  0.250  0.250 (multiplicity 4)



M_tot across the listed records, respectively: 0.00 0.59 0.00 0.00 0.00 0.00 μB per formula unit.